Entry 1:
The following is a PBE calculation of a geometry-optimized RbSr2Ge2 structure, from the Alexandria database.

Values from the calculation:
**Formation enthalpy at 0 K**: -203 meV/atom
**Raw total energy**: -14.6 eV/f.u.
**Crystal system**: tetragonal

Unit cell a=5.619 b=5.619 c=7.108 alpha=66.72 beta=66.72 gamma=90.00
Fractional coordinates of all 5 atoms:
Ge: 0.607 0.607 0.786
Ge: 0.393 0.393 0.214
Rb: 0.000 0.000 0.000
Sr: 0.750 0.250 0.500
Sr: 0.250 0.750 0.500



Entry 2:
The following is a PBE calculation of a geometry-optimized RbSr3Ge structure, from the Alexandria database.

Values from the calculation:
**Formation enthalpy at 0 K**: 1086 meV/atom
**Raw total energy**: -5.2 eV/f.u.
**Crystal system**: cubic

Unit cell a=6.359 b=6.359 c=6.359 alpha=90.00 beta=90.00 gamma=90.00
Fractional coordinates of all 5 atoms:
Rb: 0.000 0.000 0.000
Sr: 0.500 0.000 0.000
Sr: 0.000 0.500 0.000
Sr: 0.000 0.000 0.500
Ge: 0.500 0.500 0.500



Entry 3:
The following is a PBE calculation of a geometry-optimized Rb2SrGe structure, from the Alexandria database.

Values from the calculation:
**Formation enthalpy at 0 K**: 233 meV/atom
**Raw total energy**: -7.3 eV/f.u.
**Crystal system**: tetragonal

Unit cell a=5.027 b=5.027 c=14.095 alpha=79.73 beta=79.73 gamma=90.00
Fractional coordinates of all 8 atoms:
Sr: 0.750 0.250 0.500
Sr: 0.000 0.000 0.000
Ge: 0.500 0.500 0.000
Ge: 0.250 0.750 0.500
Rb: 0.375 0.393 0.750
Rb: 0.143 0.625 0.250
Rb: 0.607 0.125 0.250
Rb: 0.875 0.857 0.750



Entry 4:
The following is a PBE calculation of a geometry-optimized Rb3SrGe structure, from the Alexandria database.

Values from the calculation:
**Formation enthalpy at 0 K**: 287 meV/atom
**Raw total energy**: -7.8 eV/f.u.
**Crystal system**: cubic

Unit cell a=6.983 b=6.983 c=6.983 alpha=90.00 beta=90.00 gamma=90.00
Fractional coordinates of all 5 atoms:
Rb: 0.000 0.500 0.000
Rb: 0.000 0.000 0.500
Rb: 0.500 0.000 0.000
Sr: 0.500 0.500 0.500
Ge: 0.000 0.000 0.000



Entry 5:
The following is a PBE calculation of a geometry-optimized RbSrGe3 structure, from the Alexandria database.

Values from the calculation:
**Formation enthalpy at 0 K**: 695 meV/atom
**Raw total energy**: -13.0 eV/f.u.
**Crystal system**: cubic

Unit cell a=5.857 b=5.857 c=5.857 alpha=90.00 beta=90.00 gamma=90.00
Fractional coordinates of all 5 atoms:
Ge: 0.500 0.000 0.000
Ge: 0.000 0.500 0.000
Ge: 0.000 0.000 0.500
Sr: 0.000 0.000 0.000
Rb: 0.500 0.500 0.500



Entry 6:
The following is a PBE calculation of a geometry-optimized Rb2SrGe2 structure, from the Alexandria database.

Values from the calculation:
**Formation enthalpy at 0 K**: -48 meV/atom
**Raw total energy**: -13.1 eV/f.u.
**Crystal system**: tetragonal

Unit cell a=8.306 b=8.306 c=5.941 alpha=90.00 beta=90.00 gamma=90.00
Fractional coordinates of all 10 atoms:
Ge: 0.899 0.601 0.000
Ge: 0.399 0.899 0.000
Ge: 0.601 0.101 0.000
Ge: 0.101 0.399 0.000
Rb: 0.321 0.179 0.500
Rb: 0.679 0.821 0.500
Rb: 0.179 0.679 0.500
Rb: 0.821 0.321 0.500
Sr: 0.000 0.000 0.000
Sr: 0.500 0.500 0.000



Entry 7:
The following is a PBE calculation of a geometry-optimized RbSr3Ge structure, from the Alexandria database.

Values from the calculation:
**Formation enthalpy at 0 K**: -179 meV/atom
**Raw total energy**: -11.5 eV/f.u.
**Crystal system**: cubic

Unit cell a=6.352 b=6.352 c=6.352 alpha=90.00 beta=90.00 gamma=90.00
Fractional coordinates of all 5 atoms:
Ge: 0.000 0.000 0.000
Sr: 0.000 0.000 0.500
Sr: 0.500 0.000 0.000
Sr: 0.000 0.500 0.000
Rb: 0.500 0.500 0.500



Entry 8:
The following is a PBE calculation of a geometry-optimized RbSr2ZnGe structure, from the Alexandria database.

Values from the calculation:
**Formation enthalpy at 0 K**: 72 meV/atom
**Raw total energy**: -9.9 eV/f.u.
**Crystal system**: tetragonal

Unit cell a=6.210 b=5.081 c=6.210 alpha=90.00 beta=90.00 gamma=90.00
Fractional coordinates of all 5 atoms:
Rb: 0.500 0.500 0.500
Sr: 0.000 0.000 0.500
Sr: 0.500 0.000 0.000
Zn: 0.000 0.000 0.000
Ge: 0.000 0.500 0.000



Entry 9:
The following is a PBE calculation of a geometry-optimized Rb2SrZnGe structure, from the Alexandria database.

Values from the calculation:
**Formation enthalpy at 0 K**: 452 meV/atom
**Raw total energy**: -7.3 eV/f.u.
**Crystal system**: tetragonal

Unit cell a=6.226 b=6.338 c=6.226 alpha=90.00 beta=90.00 gamma=90.00
Fractional coordinates of all 5 atoms:
Ge: 0.500 0.500 0.500
Rb: 0.000 0.000 0.500
Rb: 0.500 0.000 0.000
Zn: 0.000 0.000 0.000
Sr: 0.000 0.500 0.000



Entry 10:
The following is a PBE calculation of a geometry-optimized Rb3TaGe structure, from the Alexandria database.

Values from the calculation:
**Formation enthalpy at 0 K**: 1639 meV/atom
**Raw total energy**: -11.2 eV/f.u.
**Crystal system**: cubic

Unit cell a=6.879 b=6.879 c=6.879 alpha=90.00 beta=90.00 gamma=90.00
Fractional coordinates of all 5 atoms:
Ta: 0.000 0.000 0.000
Ge: 0.500 0.500 0.500
Rb: 0.000 0.000 0.500
Rb: 0.000 0.500 0.000
Rb: 0.500 0.000 0.000



Entry 11:
The following is a PBE calculation of a geometry-optimized RbTaGe2 structure, from the Alexandria database.

Values from the calculation:
**Formation enthalpy at 0 K**: 395 meV/atom
**Raw total energy**: -20.5 eV/f.u.
**Crystal system**: tetragonal

Unit cell a=6.304 b=6.304 c=8.930 alpha=69.33 beta=69.33 gamma=90.00
Fractional coordinates of all 8 atoms:
Ta: 0.000 0.000 0.000
Ta: 0.750 0.250 0.500
Rb: 0.250 0.750 0.500
Rb: 0.500 0.500 0.000
Ge: 0.875 0.124 0.750
Ge: 0.874 0.125 0.250
Ge: 0.876 0.625 0.250
Ge: 0.375 0.126 0.750



Entry 12:
The following is a PBE calculation of a geometry-optimized RbTaGe2 structure, from the Alexandria database.

Values from the calculation:
**Formation enthalpy at 0 K**: 914 meV/atom
**Raw total energy**: -18.4 eV/f.u.
**Crystal system**: cubic

Unit cell a=4.998 b=4.998 c=4.998 alpha=60.00 beta=60.00 gamma=60.00
Fractional coordinates of all 4 atoms:
Ge: 0.250 0.250 0.250
Ge: 0.750 0.750 0.750
Ta: 0.500 0.500 0.500
Rb: 0.000 0.000 0.000



Entry 13:
The following is a PBE calculation of a geometry-optimized RbTaGe3 structure, from the Alexandria database.

Values from the calculation:
**Formation enthalpy at 0 K**: 2435 meV/atom
**Raw total energy**: -14.5 eV/f.u.
**Crystal system**: cubic

Unit cell a=5.201 b=5.201 c=5.201 alpha=90.00 beta=90.00 gamma=90.00
Fractional coordinates of all 5 atoms:
Rb: 0.000 0.000 0.000
Ge: 0.500 0.000 0.000
Ge: 0.000 0.000 0.500
Ge: 0.000 0.500 0.000
Ta: 0.500 0.500 0.500



Entry 14:
The following is a PBE calculation of a geometry-optimized RbTaTcGe2 structure, from the Alexandria database.

Values from the calculation:
**Formation enthalpy at 0 K**: 3034 meV/atom
**Raw total energy**: -17.3 eV/f.u.
**Crystal system**: tetragonal

Unit cell a=5.206 b=5.002 c=5.206 alpha=90.00 beta=90.00 gamma=90.00
Fractional coordinates of all 5 atoms:
Ta: 0.000 0.500 0.000
Ge: 0.500 0.000 0.000
Ge: 0.000 0.000 0.500
Tc: 0.500 0.500 0.500
Rb: 0.000 0.000 0.000



Entry 15:
The following is a PBE calculation of a geometry-optimized RbTaGeW2 structure, from the Alexandria database.

Values from the calculation:
**Formation enthalpy at 0 K**: 2043 meV/atom
**Raw total energy**: -33.1 eV/f.u.
**Crystal system**: tetragonal

Unit cell a=4.831 b=4.984 c=4.831 alpha=90.00 beta=90.00 gamma=90.00
Fractional coordinates of all 5 atoms:
W: 0.500 0.000 0.000
W: 0.000 0.000 0.500
Ge: 0.000 0.000 0.000
Rb: 0.500 0.500 0.500
Ta: 0.000 0.500 0.000



Entry 16:
The following is a PBE calculation of a geometry-optimized RbYTa2Ge structure, from the Alexandria database.

Values from the calculation:
**Formation enthalpy at 0 K**: 2412 meV/atom
**Raw total energy**: -23.7 eV/f.u.
**Crystal system**: tetragonal

Unit cell a=4.889 b=5.465 c=4.889 alpha=90.00 beta=90.00 gamma=90.00
Fractional coordinates of all 5 atoms:
Y: 0.500 0.500 0.500
Ta: 0.500 0.000 0.000
Ta: 0.000 0.000 0.500
Rb: 0.000 0.000 0.000
Ge: 0.000 0.500 0.000



Entry 17:
The following is a PBE calculation of a geometry-optimized Rb2TbGeTe4 structure, from the Alexandria database.

Values from the calculation:
**Raw total energy**: -30.2 eV/f.u.
**Crystal system**: orthorhombic
**Formation energy (no corrections)**: -0.80 eV per atom

Unit cell a=9.447 b=9.447 c=9.121 alpha=118.86 beta=118.87 gamma=89.95
Fractional coordinates of all 16 atoms:
Te: 0.231 0.269 0.045
Te: 0.769 0.731 0.955
Te: 0.231 0.269 0.455
Te: 0.803 0.264 0.033
Te: 0.197 0.736 0.967
Te: 0.769 0.731 0.545
Te: 0.764 0.303 0.533
Te: 0.236 0.697 0.467
Rb: 0.000 0.000 0.500
Rb: 0.500 0.000 0.000
Rb: 0.500 0.500 0.000
Rb: 0.500 0.000 0.500
Ge: 0.500 0.500 0.500
Ge: 0.000 0.000 0.000
Tb: 0.000 0.500 0.000
Tb: 0.000 0.500 0.500



Entry 18:
The following is a PBE calculation of a geometry-optimized RbTbGeTe3 structure, from the Alexandria database.

Values from the calculation:
**Raw total energy**: -25.3 eV/f.u.
**Crystal system**: monoclinic
**Formation energy (no corrections)**: -0.95 eV per atom

Unit cell a=4.324 b=9.499 c=12.015 alpha=111.20 beta=90.00 gamma=90.00
Fractional coordinates of all 12 atoms:
Ge: 0.750 0.882 0.446
Ge: 0.250 0.118 0.554
Te: 0.250 0.676 0.429
Te: 0.750 0.888 0.223
Te: 0.750 0.388 0.104
Te: 0.750 0.324 0.571
Te: 0.250 0.112 0.777
Te: 0.250 0.612 0.896
Tb: 0.250 0.634 0.159
Tb: 0.750 0.366 0.841
Rb: 0.750 0.766 0.719
Rb: 0.250 0.234 0.281



Entry 19:
The following is a PBE calculation of a geometry-optimized RbTcGe3 structure, from the Alexandria database.

Values from the calculation:
**Formation enthalpy at 0 K**: 2375 meV/atom
**Raw total energy**: -13.3 eV/f.u.
**Crystal system**: cubic

Unit cell a=5.429 b=5.429 c=5.429 alpha=90.00 beta=90.00 gamma=90.00
Fractional coordinates of all 5 atoms:
Ge: 0.500 0.000 0.000
Ge: 0.000 0.000 0.500
Ge: 0.000 0.500 0.000
Tc: 0.500 0.500 0.500
Rb: 0.000 0.000 0.000



Entry 20:
The following is a PBE calculation of a geometry-optimized RbTcGe2 structure, from the Alexandria database.

Values from the calculation:
**Formation enthalpy at 0 K**: 334 meV/atom
**Raw total energy**: -19.2 eV/f.u.
**Crystal system**: trigonal

Unit cell a=4.187 b=4.187 c=8.406 alpha=75.58 beta=75.58 gamma=60.00
Fractional coordinates of all 4 atoms:
Ge: 0.865 0.865 0.406
Ge: 0.135 0.135 0.594
Rb: 0.000 0.000 0.000
Tc: 0.500 0.500 0.500